Computed, not measured: AlHI2N after structural relaxation at the PBE level of DFT.

Computed properties:
For the calculated total energy, the calculation gives -13.705 eV per cell. For the spin magnetization, the calculation gives 1.94 μB per formula unit.

Cell and atoms, written as CIF:
```
data_AlHI2N
_chemical_formula_sum 'Al1 H1 I2 N1'
_space_group_name_H-M_alt 'P 4/m m m'
_space_group_IT_number 123
_space_group_name_Hall '-P 4 2'
_cell_length_a 6.3952
_cell_length_b 6.3952
_cell_length_c 2.9405
_cell_angle_alpha 90.00
_cell_angle_beta 90.00
_cell_angle_gamma 90.00
loop_
_atom_site_label
_atom_site_fract_x
_atom_site_fract_y
_atom_site_fract_z
Al1 0.0000 0.0000 0.0000
H1 0.5000 0.5000 0.5000
I1 0.0000 0.5000 0.5000
N1 0.5000 0.5000 0.0000
```